P.
Here is an optimized crystal structure of CaTe3Au from Alexandria. Energies are from PBE.

Results
- magnetization (Bohr magnetons per cell) = 0.00
- space group = No. 221

a b c (Å): 5.7840 5.7840 5.7840
angles (deg): 90.00 90.00 90.00
Positions (direct):
1 Ca 0.0000 0.0000 0.0000
2 Te 0.0000 0.0000 0.5000
3 Te 0.0000 0.5000 0.0000
4 Te 0.5000 0.0000 0.0000
5 Au 0.5000 0.5000 0.5000

***

Q.
Here is an optimized crystal structure of CaTe3Au from Alexandria. Energies are from PBE.

Results
- magnetization (Bohr magnetons per cell) = 0.00
- space group = No. 221

a b c (Å): 5.4999 5.4999 5.4999
angles (deg): 90.00 90.00 90.00
Positions (direct):
1 Ca 0.0000 0.0000 0.0000
2 Te 0.0000 0.5000 0.5000
3 Te 0.5000 0.0000 0.5000
4 Te 0.5000 0.5000 0.0000
5 Au 0.5000 0.5000 0.5000

***

Quick look at relative energies in meV/atom: P 647; Q 0.

***

P.
Here is an optimized crystal structure of CaTeAu3 from Alexandria. Energies are from PBE.

Results
- magnetization (Bohr magnetons per cell) = 0.00
- space group = No. 221

a b c (Å): 5.3230 5.3230 5.3230
angles (deg): 90.00 90.00 90.00
Positions (direct):
1 Ca 0.0000 0.0000 0.0000
2 Te 0.5000 0.5000 0.5000
3 Au 0.0000 0.5000 0.5000
4 Au 0.5000 0.0000 0.5000
5 Au 0.5000 0.5000 0.0000

***

Q.
Here is an optimized crystal structure of CaTeAu3 from Alexandria. Energies are from PBE.

Results
- magnetization (Bohr magnetons per cell) = 0.00
- space group = No. 221

a b c (Å): 5.3306 5.3306 5.3306
angles (deg): 90.00 90.00 90.00
Positions (direct):
1 Ca 0.0000 0.0000 0.0000
2 Te 0.5000 0.5000 0.5000
3 Au 0.0000 0.0000 0.5000
4 Au 0.0000 0.5000 0.0000
5 Au 0.5000 0.0000 0.0000

***

Quick look at relative energies in meV/atom: P 0; Q 570.